{
  "formula": "Rb2TbAgCl6",
  "functional": "PBE",
  "state": "relaxed",
  "volume_a3_per_atom": 31.3,
  "magnetic_moment_mub_per_cell": 0.0,
  "n_ef_per_ev_atom": 0.0000,
  "formation_energy_uncorrected_ev_per_atom": -1.81,
  "spacegroup": "No. 225",
  "de_polymorph_mev_per_atom": 14,
  "lattice_angstrom": [[-3.8195, -6.4580, -1.3487], [-1.6034, -4.7503, 5.7426], [-7.1866, -0.7560, 2.4280]],
  "species": ["Rb", "Rb", "Cl", "Cl", "Cl", "Tb", "Ag", "Cl", "Cl", "Cl"],
  "frac_coords": [[0.2500, 0.2500, 0.2500], [0.7500, 0.7500, 0.7500], [0.7547, 0.7547, 0.2453], [0.2453, 0.2453, 0.7547], [0.2453, 0.7547, 0.2453], [0.0000, 0.0000, 0.0000], [0.5000, 0.5000, 0.5000], [0.7547, 0.2453, 0.7547], [0.7547, 0.2453, 0.2453], [0.2453, 0.7547, 0.7547]]
}